Entry 1:
Entry from Alexandria: a crystal of Sn3HBr relaxed with PBEsol (meta-GGA SCAN).

a b c (Å): 5.543 5.543 5.543
angles (deg): 90.00 90.00 90.00
Fractional positions:
Sn: 0.000 0.000 0.500
Sn: 0.000 0.500 0.000
Sn: 0.500 0.000 0.000
H: 0.500 0.500 0.500
Br: 0.000 0.000 0.000

Computed properties:
Final energy   -0.9149 Ha/atom



Entry 2:
Entry from Alexandria: a crystal of Er2CuPt relaxed with PBEsol (meta-GGA SCAN).

a b c (Å): 6.783 6.783 6.783
angles (deg): 90.00 90.00 90.00
Fractional positions:
Er: 0.250 0.250 0.250
Er: 0.250 0.250 0.750
Er: 0.250 0.750 0.250
Er: 0.250 0.750 0.750
Er: 0.750 0.250 0.250
Er: 0.750 0.250 0.750
Er: 0.750 0.750 0.250
Er: 0.750 0.750 0.750
Cu: 0.000 0.000 0.000
Cu: 0.000 0.500 0.500
Cu: 0.500 0.000 0.500
Cu: 0.500 0.500 0.000
Pt: 0.000 0.000 0.500
Pt: 0.000 0.500 0.000
Pt: 0.500 0.000 0.000
Pt: 0.500 0.500 0.500

Computed properties:
Formation enthalpy at 0 K   -956 meV per atom
Final energy   -1.7447 Ha/atom



Entry 3:
Entry from Alexandria: a crystal of K2TlPt2 relaxed with PBEsol (meta-GGA SCAN).

a b c (Å): 6.898 6.898 5.322
angles (deg): 90.00 90.00 90.00
Fractional positions:
K: 0.171 0.329 0.000
K: 0.329 0.829 0.000
K: 0.671 0.171 0.000
K: 0.829 0.671 0.000
Tl: 0.000 0.000 0.500
Tl: 0.500 0.500 0.500
Pt: 0.130 0.630 0.500
Pt: 0.370 0.130 0.500
Pt: 0.630 0.870 0.500
Pt: 0.870 0.370 0.500

Computed properties:
Formation enthalpy at 0 K   -138 meV per atom
Final energy   -1.6911 Ha/atom



Entry 4:
Entry from Alexandria: a crystal of ScReW2 relaxed with PBEsol (meta-GGA SCAN).

a b c (Å): 3.111 3.111 6.750
angles (deg): 90.00 90.00 90.00
Fractional positions:
Sc: 0.000 0.000 0.000
Re: 0.000 0.000 0.500
W: 0.500 0.500 0.272
W: 0.500 0.500 0.728

Computed properties:
Formation enthalpy at 0 K   159 meV per atom
Final energy   -2.0586 Ha/atom



Entry 5:
Entry from Alexandria: a crystal of K2NaAl3F12 relaxed with PBEsol (meta-GGA SCAN).

a b c (Å): 6.919 6.991 9.644
angles (deg): 90.00 90.22 90.00
Fractional positions:
K: 0.019 0.250 0.399
K: 0.459 0.250 0.143
K: 0.541 0.750 0.857
K: 0.981 0.750 0.601
Na: 0.208 0.750 0.261
Na: 0.792 0.250 0.739
Al: 0.000 0.000 0.000
Al: 0.000 0.500 0.000
Al: 0.311 0.250 0.783
Al: 0.500 0.000 0.500
Al: 0.500 0.500 0.500
Al: 0.689 0.750 0.217
F: 0.080 0.750 0.004
F: 0.106 0.250 0.677
F: 0.133 0.042 0.154
F: 0.133 0.458 0.154
F: 0.215 0.061 0.897
F: 0.215 0.439 0.897
F: 0.258 0.547 0.452
F: 0.258 0.953 0.452
F: 0.424 0.060 0.677
F: 0.424 0.440 0.677
F: 0.468 0.250 0.441
F: 0.474 0.750 0.117
F: 0.526 0.250 0.883
F: 0.532 0.750 0.559
F: 0.576 0.560 0.323
F: 0.576 0.940 0.323
F: 0.742 0.047 0.548
F: 0.742 0.453 0.548
F: 0.785 0.561 0.103
F: 0.785 0.939 0.103
F: 0.867 0.542 0.846
F: 0.867 0.958 0.846
F: 0.894 0.750 0.323
F: 0.920 0.250 0.996

Computed properties:
Formation energy from raw total energies   -3.62 eV/atom
Final energy   -0.3097 Ha/atom



Entry 6:
Entry from Alexandria: a crystal of Mn3SnP6O24 relaxed with PBEsol (meta-GGA SCAN).

a b c (Å): 8.608 8.608 8.608
angles (deg): 56.47 56.47 56.47
Fractional positions:
Mn: 0.000 0.000 0.000
Mn: 0.213 0.213 0.213
Mn: 0.718 0.718 0.718
Sn: 0.502 0.502 0.502
P: 0.095 0.392 0.840
P: 0.320 0.897 0.611
P: 0.392 0.840 0.095
P: 0.611 0.320 0.897
P: 0.840 0.095 0.392
P: 0.897 0.611 0.320
O: 0.016 0.246 0.883
O: 0.037 0.075 0.378
O: 0.045 0.395 0.347
O: 0.075 0.378 0.037
O: 0.114 0.993 0.750
O: 0.246 0.883 0.016
O: 0.308 0.354 0.688
O: 0.324 0.700 0.648
O: 0.347 0.045 0.395
O: 0.354 0.688 0.308
O: 0.378 0.037 0.075
O: 0.395 0.347 0.045
O: 0.486 0.866 0.659
O: 0.602 0.752 0.958
O: 0.648 0.324 0.700
O: 0.659 0.486 0.866
O: 0.688 0.308 0.354
O: 0.700 0.648 0.324
O: 0.750 0.114 0.993
O: 0.752 0.958 0.602
O: 0.866 0.659 0.486
O: 0.883 0.016 0.246
O: 0.958 0.602 0.752
O: 0.993 0.750 0.114

Computed properties:
Formation energy from raw total energies   -2.13 eV/atom
Final energy   -0.4055 Ha/atom



Entry 7:
Entry from Alexandria: a crystal of NiHg2Sb relaxed with PBEsol (meta-GGA SCAN).

a b c (Å): 6.813 6.813 6.813
angles (deg): 90.00 90.00 90.00
Fractional positions:
Ni: 0.000 0.000 0.000
Ni: 0.000 0.500 0.500
Ni: 0.500 0.000 0.500
Ni: 0.500 0.500 0.000
Hg: 0.000 0.000 0.500
Hg: 0.000 0.500 0.000
Hg: 0.250 0.250 0.750
Hg: 0.250 0.750 0.250
Hg: 0.500 0.000 0.000
Hg: 0.500 0.500 0.500
Hg: 0.750 0.250 0.250
Hg: 0.750 0.750 0.750
Sb: 0.250 0.250 0.250
Sb: 0.250 0.750 0.750
Sb: 0.750 0.250 0.750
Sb: 0.750 0.750 0.250

Computed properties:
Formation energy from raw total energies   0.49 eV/atom
Final energy   -1.7254 Ha/atom



Entry 8:
Entry from Alexandria: a crystal of AgAu relaxed with PBEsol (meta-GGA SCAN).

a b c (Å): 10.700 2.845 6.853
angles (deg): 90.00 105.91 90.00
Fractional positions:
Ag: 0.000 0.000 0.000
Ag: 0.054 0.000 0.612
Ag: 0.166 0.500 0.332
Ag: 0.500 0.500 0.000
Ag: 0.554 0.500 0.612
Ag: 0.666 0.000 0.332
Au: 0.221 0.500 0.945
Au: 0.331 0.000 0.665
Au: 0.391 0.000 0.279
Au: 0.721 0.000 0.945
Au: 0.831 0.500 0.665
Au: 0.891 0.500 0.279

Computed properties:
Formation enthalpy at 0 K   -68 meV per atom
Final energy   -1.8496 Ha/atom



Entry 9:
Entry from Alexandria: a crystal of Nd5Pb4 relaxed with PBEsol (meta-GGA SCAN).

a b c (Å): 8.291 15.856 8.441
angles (deg): 90.00 90.00 90.00
Fractional positions:
Nd: 0.021 0.099 0.180
Nd: 0.021 0.401 0.180
Nd: 0.130 0.620 0.341
Nd: 0.130 0.880 0.341
Nd: 0.200 0.250 0.503
Nd: 0.300 0.750 0.003
Nd: 0.370 0.120 0.841
Nd: 0.370 0.380 0.841
Nd: 0.479 0.599 0.680
Nd: 0.479 0.901 0.680
Nd: 0.521 0.099 0.320
Nd: 0.521 0.401 0.320
Nd: 0.630 0.620 0.159
Nd: 0.630 0.880 0.159
Nd: 0.700 0.250 0.997
Nd: 0.800 0.750 0.497
Nd: 0.870 0.120 0.659
Nd: 0.870 0.380 0.659
Nd: 0.979 0.599 0.820
Nd: 0.979 0.901 0.820
Pb: 0.066 0.250 0.881
Pb: 0.170 0.750 0.648
Pb: 0.213 0.042 0.537
Pb: 0.213 0.458 0.537
Pb: 0.287 0.542 0.037
Pb: 0.287 0.958 0.037
Pb: 0.330 0.250 0.148
Pb: 0.434 0.750 0.381
Pb: 0.566 0.250 0.619
Pb: 0.670 0.750 0.852
Pb: 0.713 0.042 0.963
Pb: 0.713 0.458 0.963
Pb: 0.787 0.542 0.463
Pb: 0.787 0.958 0.463
Pb: 0.830 0.250 0.352
Pb: 0.934 0.750 0.119

Computed properties:
Formation enthalpy at 0 K   -872 meV per atom
Final energy   -2.1596 Ha/atom



Entry 10:
Entry from Alexandria: a crystal of TaGaRu2Rh relaxed with PBEsol (meta-GGA SCAN).

a b c (Å): 4.384 4.384 4.317
angles (deg): 90.00 90.00 90.00
Fractional positions:
Ta: 0.000 0.000 0.000
Ga: 0.500 0.500 0.500
Ru: 0.000 0.500 0.500
Ru: 0.500 0.000 0.500
Rh: 0.500 0.500 0.000

Computed properties:
Formation enthalpy at 0 K   878 meV per atom
Final energy   -1.3374 Ha/atom



Entry 11:
Entry from Alexandria: a crystal of Zn2AgMoPt relaxed with PBEsol (meta-GGA SCAN).

a b c (Å): 4.674 4.674 4.795
angles (deg): 90.00 90.00 90.00
Fractional positions:
Zn: 0.000 0.500 0.000
Zn: 0.500 0.000 0.000
Ag: 0.000 0.000 0.500
Mo: 0.000 0.000 0.000
Pt: 0.500 0.500 0.500

Computed properties:
Formation enthalpy at 0 K   1725 meV per atom
Final energy   -1.1381 Ha/atom



Entry 12:
Entry from Alexandria: a crystal of La2OsBr relaxed with PBEsol (meta-GGA SCAN).

a b c (Å): 4.142 4.142 22.913
angles (deg): 90.00 90.00 120.00
Fractional positions:
La: 0.000 0.000 0.233
La: 0.000 0.000 0.767
La: 0.333 0.667 0.434
La: 0.333 0.667 0.899
La: 0.667 0.333 0.101
La: 0.667 0.333 0.566
Os: 0.000 0.000 0.500
Os: 0.333 0.667 0.167
Os: 0.667 0.333 0.833
Br: 0.000 0.000 0.000
Br: 0.333 0.667 0.667
Br: 0.667 0.333 0.333

Computed properties:
Formation energy from raw total energies   -0.99 eV/atom
Final energy   -1.6677 Ha/atom



Entry 13:
Entry from Alexandria: a crystal of CsMg2F relaxed with PBEsol (meta-GGA SCAN).

a b c (Å): 7.102 7.102 10.117
angles (deg): 90.00 90.00 90.00
Fractional positions:
Cs: 0.000 0.250 0.375
Cs: 0.000 0.750 0.625
Cs: 0.500 0.250 0.125
Cs: 0.500 0.750 0.875
Mg: 0.000 0.000 0.000
Mg: 0.000 0.500 0.000
Mg: 0.250 0.250 0.750
Mg: 0.250 0.750 0.250
Mg: 0.500 0.000 0.500
Mg: 0.500 0.500 0.500
Mg: 0.750 0.250 0.750
Mg: 0.750 0.750 0.250
F: 0.000 0.250 0.875
F: 0.000 0.750 0.125
F: 0.500 0.250 0.625
F: 0.500 0.750 0.375

Computed properties:
Formation energy from raw total energies   -0.83 eV/atom
Final energy   -0.5018 Ha/atom



Entry 14:
Entry from Alexandria: a crystal of YSi2Rh3 relaxed with PBEsol (meta-GGA SCAN).

a b c (Å): 5.439 5.439 3.653
angles (deg): 90.00 90.00 120.00
Fractional positions:
Y: 0.000 0.000 0.000
Si: 0.333 0.667 0.000
Si: 0.667 0.333 0.000
Rh: 0.000 0.500 0.500
Rh: 0.500 0.000 0.500
Rh: 0.500 0.500 0.500

Computed properties:
Formation energy from raw total energies   -1.18 eV/atom
Final energy   -0.9570 Ha/atom



Entry 15:
Entry from Alexandria: a crystal of Tc relaxed with PBEsol (meta-GGA SCAN).

a b c (Å): 3.828 3.828 3.828
angles (deg): 90.00 90.00 90.00
Fractional positions:
Tc: 0.000 0.000 0.000
Tc: 0.000 0.500 0.500
Tc: 0.500 0.000 0.500
Tc: 0.500 0.500 0.000

Computed properties:
Formation enthalpy at 0 K   63 meV per atom
Final energy   -1.2861 Ha/atom



Entry 16:
Entry from Alexandria: a crystal of Co3Br relaxed with PBEsol (meta-GGA SCAN).

a b c (Å): 5.325 6.449 2.875
angles (deg): 90.00 90.00 90.00
Fractional positions:
Co: 0.000 0.000 0.000
Co: 0.250 0.250 0.500
Co: 0.250 0.750 0.500
Co: 0.500 0.500 0.000
Co: 0.750 0.250 0.500
Co: 0.750 0.750 0.500
Br: 0.000 0.500 0.000
Br: 0.500 0.000 0.000

Computed properties:
Formation energy from raw total energies   0.79 eV/atom
Final energy   -0.6266 Ha/atom



Entry 17:
Entry from Alexandria: a crystal of TlPW2 relaxed with PBEsol (meta-GGA SCAN).

a b c (Å): 5.659 8.706 2.935
angles (deg): 90.00 113.10 90.00
Fractional positions:
Tl: 0.000 0.000 0.000
Tl: 0.500 0.500 0.000
P: 0.000 0.500 0.000
P: 0.500 0.000 0.000
W: 0.250 0.250 0.500
W: 0.250 0.750 0.500
W: 0.750 0.250 0.500
W: 0.750 0.750 0.500

Computed properties:
Formation enthalpy at 0 K   1118 meV per atom
Final energy   -1.9997 Ha/atom



Entry 18:
Entry from Alexandria: a crystal of Zr10C9 relaxed with PBEsol (meta-GGA SCAN).

a b c (Å): 8.740 8.740 10.957
angles (deg): 117.07 117.07 44.54
Fractional positions:
Zr: 0.022 0.276 0.948
Zr: 0.064 0.831 0.851
Zr: 0.127 0.376 0.750
Zr: 0.169 0.936 0.649
Zr: 0.221 0.468 0.544
Zr: 0.276 0.022 0.448
Zr: 0.314 0.582 0.355
Zr: 0.376 0.127 0.250
Zr: 0.418 0.686 0.145
Zr: 0.468 0.221 0.044
Zr: 0.532 0.779 0.956
Zr: 0.582 0.314 0.855
Zr: 0.624 0.873 0.750
Zr: 0.686 0.418 0.645
Zr: 0.724 0.978 0.552
Zr: 0.779 0.532 0.456
Zr: 0.831 0.064 0.351
Zr: 0.873 0.624 0.250
Zr: 0.936 0.169 0.149
Zr: 0.978 0.724 0.052
C: 0.028 0.775 0.449
C: 0.075 0.327 0.352
C: 0.124 0.876 0.250
C: 0.179 0.424 0.150
C: 0.225 0.972 0.051
C: 0.277 0.525 0.950
C: 0.327 0.075 0.852
C: 0.424 0.179 0.650
C: 0.475 0.723 0.550
C: 0.525 0.277 0.450
C: 0.576 0.821 0.350
C: 0.673 0.925 0.148
C: 0.723 0.475 0.050
C: 0.775 0.028 0.949
C: 0.821 0.576 0.850
C: 0.876 0.124 0.750
C: 0.925 0.673 0.648
C: 0.972 0.225 0.551

Computed properties:
Formation enthalpy at 0 K   -978 meV per atom
Final energy   -0.8055 Ha/atom



Entry 19:
Entry from Alexandria: a crystal of LiMo3 relaxed with PBEsol (meta-GGA SCAN).

a b c (Å): 3.118 4.321 9.091
angles (deg): 90.00 90.00 90.00
Fractional positions:
Li: 0.000 0.000 0.000
Li: 0.500 0.500 0.000
Mo: 0.000 0.000 0.500
Mo: 0.000 0.500 0.259
Mo: 0.000 0.500 0.741
Mo: 0.500 0.000 0.259
Mo: 0.500 0.000 0.741
Mo: 0.500 0.500 0.500

Computed properties:
Formation enthalpy at 0 K   268 meV per atom
Final energy   -0.9736 Ha/atom



Entry 20:
Entry from Alexandria: a crystal of TlAg2Pb relaxed with PBEsol (meta-GGA SCAN).

a b c (Å): 4.696 4.696 3.994
angles (deg): 90.00 90.00 90.00
Fractional positions:
Tl: 0.000 0.000 0.000
Ag: 0.000 0.500 0.500
Ag: 0.500 0.000 0.500
Pb: 0.500 0.500 0.000

Computed properties:
Formation enthalpy at 0 K   167 meV per atom
Final energy   -1.9312 Ha/atom